A plane-wave DFT calculation with GGA-PBE was carried out for a relaxed Be3Ag5 crystal.

Results
Space-group type ... C2/m, No. 12
Distance to the lowest polymorph of the same formula ... 0.0360 eV/atom
Formation energy ... 0.17 eV/atom
Total magnetic moment ... 0.0 μB per formula unit
DOS(E_F) ... 0.218 states/eV/atom

Cell: 7.1613 7.1616 7.2199 Å, 98.06 98.07 137.97°
Fractional positions:
Ag 0.2347 0.7349 0.4732
Ag 0.2154 0.9259 0.1339
Ag 0.5736 0.2841 0.8661
Ag 0.4254 0.7157 0.1339
Ag 0.7647 0.2653 0.5269
Ag 0.0950 0.2291 0.2913
Ag 0.9041 0.7708 0.7087
Ag 0.7836 0.0739 0.8661
Ag 0.2703 0.4045 0.7087
Ag 0.7288 0.5954 0.2913
Be 0.2502 0.2493 0.0000
Be 0.7489 0.7506 0.0000
Be 0.7686 0.2689 0.1755
Be 0.2307 0.7311 0.8245
Be 0.3385 0.1609 0.5000
Be 0.6611 0.8395 0.5000

=====

A plane-wave DFT calculation with GGA-PBE was carried out for a relaxed K2AgAu2 crystal.

Results
Space-group type ... Immm, No. 71
Distance to the lowest polymorph of the same formula ... 0.0000 eV/atom
Formation energy ... -0.25 eV/atom
Total magnetic moment ... 0.0 μB per formula unit
DOS(E_F) ... 0.301 states/eV/atom

Cell: 5.6540 4.9513 6.3170 Å, 66.93 63.42 90.00°
Fractional positions:
Ag 0.0000 0.0000 0.0000
Au 0.2530 0.5000 0.0000
Au 0.7470 0.5000 0.0000
K 0.3042 0.8042 0.3916
K 0.6958 0.1958 0.6084

=====

A plane-wave DFT calculation with GGA-PBE was carried out for a relaxed CdGa2TeS6 crystal.

Results
Space-group type ... C2/c, No. 15
ΔE_f (raw) ... -356 kJ/mol of formula units
Total magnetic moment ... 0.0 μB per formula unit

Cell: 6.9004 8.3541 8.3541 Å, 82.15 79.02 79.02°
Fractional positions:
Ga 0.2387 0.3965 0.2169
Ga 0.7387 0.2169 0.3965
Ga 0.2613 0.7831 0.6035
Ga 0.7613 0.6035 0.7831
Cd 0.7500 0.1103 0.8897
Cd 0.2500 0.8897 0.1103
S 0.6440 0.7949 0.9863
S 0.3560 0.2051 0.0137
S 0.9716 0.7064 0.5660
S 0.8967 0.3648 0.9180
S 0.4716 0.5660 0.7064
S 0.1033 0.6352 0.0820
S 0.0284 0.2936 0.4340
S 0.3967 0.9180 0.3648
S 0.1440 0.9863 0.7949
S 0.5284 0.4340 0.2936
S 0.8560 0.0137 0.2051
S 0.6033 0.0820 0.6352
Te 0.2500 0.2612 0.7388
Te 0.7500 0.7388 0.2612

=====

A plane-wave DFT calculation with GGA-PBE was carried out for a relaxed TbCe2Pb crystal.

Results
Space-group type ... R-3m, No. 166
Distance to the lowest polymorph of the same formula ... 0.4558 eV/atom
Formation energy ... 0.17 eV/atom
Total magnetic moment ... 2.1 μB per formula unit
DOS(E_F) ... 2.627 states/eV/atom

Cell: 3.4478 3.4478 12.5056 Å, 82.08 82.08 60.00°
Fractional positions:
Ce 0.9115 0.9115 0.2656
Ce 0.0885 0.0885 0.7344
Pb 0.0000 0.0000 0.0000
Tb 0.5000 0.5000 0.5000